Entry from Alexandria via LeMat-Bulk: a geometry-optimized Na2GePb structure (PBE).

```
data_Na2GePb
_symmetry_space_group_name_H-M 'C 1 m 1'
_symmetry_Int_Tables_number 8
_symmetry_space_group_name_Hall 'C -2y'
_cell_length_a 11.6186
_cell_length_b 5.0045
_cell_length_c 9.0783
_cell_angle_alpha 90.00
_cell_angle_beta 120.50
_cell_angle_gamma 90.00
loop_
_atom_site_label
_atom_site_type_symbol
_atom_site_fract_x
_atom_site_fract_y
_atom_site_fract_z
Na1 Na 0.0000 0.0000 0.0000
Na2 Na 0.0006 0.0000 0.4974
Na3 Na 0.1181 0.5000 0.3167
Na4 Na 0.3849 0.0000 0.6800
Ge1 Ge 0.1942 0.5000 0.0463
Ge2 Ge 0.3056 0.0000 0.9471
Pb1 Pb 0.1890 0.5000 0.7241
Pb2 Pb 0.3125 0.0000 0.2702
```

Summary:
- uncorrected energy (eV/cell) = -44.1
- energy relative to the lowest polymorph listed for this composition (eV per atom) = 0.043
- crystal system = monoclinic
- spin magnetization (Bohr magnetons per cell) = 0.000
- E_form (eV/atom) = -0.02